1.
Na3SiF8 | PBE | relaxed

abc: 5.208 5.208 5.208
angles: 90.00 90.00 90.00
Fractional coordinates of all 12 atoms:
Na 0.000 0.000 0.500
Na 0.000 0.500 0.000
Na 0.500 0.000 0.000
Si 0.500 0.500 0.500
F 0.286 0.286 0.286
F 0.286 0.286 0.714
F 0.286 0.714 0.286
F 0.286 0.714 0.714
F 0.714 0.286 0.286
F 0.714 0.286 0.714
F 0.714 0.714 0.286
F 0.714 0.714 0.714

Properties
E_tot   -4.401 eV per atom
Magnetization   0.98 μB per formula unit
ΔE_f (raw)   -2372 meV per atom
Symmetry   Pm-3m, No. 221

2.
CrPb2Se | PBE | relaxed

abc: 7.033 7.718 3.672
angles: 90.00 90.00 90.00
Fractional coordinates of all 8 atoms:
Cr 0.000 0.000 0.000
Cr 0.500 0.500 0.000
Pb 0.250 0.250 0.500
Pb 0.250 0.750 0.500
Pb 0.750 0.250 0.500
Pb 0.750 0.750 0.500
Se 0.000 0.500 0.000
Se 0.500 0.000 0.000

Properties
E_tot   -4.902 eV per atom
Magnetization   4.34 μB per formula unit
ΔE_f (raw)   229 meV per atom
Symmetry   Cmmm, No. 65

3.
CaAlGa2Ag4 | PBE | relaxed

abc: 9.222 9.222 9.222
angles: 28.49 28.49 28.49
Fractional coordinates of all 8 atoms:
Ca 0.000 0.000 0.000
Al 0.500 0.500 0.500
Ga 0.255 0.255 0.255
Ga 0.745 0.745 0.745
Ag 0.135 0.135 0.135
Ag 0.402 0.402 0.402
Ag 0.598 0.598 0.598
Ag 0.865 0.865 0.865

Properties
E_tot   -3.036 eV per atom
Formation energy from the elements   -0.14 eV/atom
Magnetization   0.00 μB per formula unit
Symmetry   R-3m, No. 166

4.
La6P2IrI3 | PBE | relaxed

abc: 7.516 7.516 8.136
angles: 99.13 99.13 119.58
Fractional coordinates of all 12 atoms:
La 0.065 0.389 0.194
La 0.267 0.267 0.798
La 0.389 0.065 0.194
La 0.611 0.935 0.806
La 0.733 0.733 0.202
La 0.935 0.611 0.806
P 0.333 0.667 0.000
P 0.667 0.333 0.000
Ir 0.000 0.000 0.000
I 0.173 0.827 0.500
I 0.500 0.500 0.500
I 0.827 0.173 0.500

Properties
E_tot   -5.768 eV per atom
Magnetization   0.00 μB per formula unit
ΔE_f (raw)   -1276 meV per atom
Symmetry   C2/m, No. 12

5.
Zn6PdAu5 | PBE | relaxed

abc: 7.811 7.811 4.553
angles: 106.90 106.90 121.31
Fractional coordinates of all 12 atoms:
Zn 0.083 0.409 0.746
Zn 0.241 0.241 0.241
Zn 0.409 0.083 0.746
Zn 0.591 0.917 0.254
Zn 0.759 0.759 0.759
Zn 0.917 0.591 0.254
Pd 0.000 0.000 0.500
Au 0.168 0.832 0.000
Au 0.332 0.668 0.500
Au 0.500 0.500 0.000
Au 0.668 0.332 0.500
Au 0.832 0.168 0.000

Properties
Polymorph energy (0 for the lowest one)   0.0000 eV/atom
E_tot   -2.710 eV per atom
Formation energy from the elements   -0.28 eV/atom
Magnetization   0.00 μB per formula unit
Symmetry   C2/m, No. 12

6.
K4CeNp3Se8 | PBE | relaxed

abc: 9.140 9.140 9.140
angles: 56.04 56.04 56.04
Fractional coordinates of all 16 atoms:
K 0.000 0.000 0.000
K 0.000 0.500 0.500
K 0.500 0.000 0.500
K 0.500 0.500 0.000
Ce 0.500 0.500 0.500
Np 0.000 0.000 0.500
Np 0.000 0.500 0.000
Np 0.500 0.000 0.000
Se 0.232 0.738 0.738
Se 0.234 0.234 0.234
Se 0.262 0.262 0.768
Se 0.262 0.768 0.262
Se 0.738 0.232 0.738
Se 0.738 0.738 0.232
Se 0.766 0.766 0.766
Se 0.768 0.262 0.262

Properties
E_tot   -6.183 eV per atom
Magnetization   13.00 μB per formula unit
ΔE_f (raw)   -1369 meV per atom
Symmetry   R-3m, No. 166

7.
CrOsSe2 | PBE | relaxed

abc: 3.042 3.042 24.054
angles: 90.00 90.00 120.00
Fractional coordinates of all 12 atoms:
Cr 0.000 0.000 0.000
Cr 0.333 0.667 0.667
Cr 0.667 0.333 0.333
Os 0.000 0.000 0.500
Os 0.333 0.667 0.167
Os 0.667 0.333 0.833
Se 0.000 0.000 0.402
Se 0.000 0.000 0.598
Se 0.333 0.667 0.068
Se 0.333 0.667 0.265
Se 0.667 0.333 0.735
Se 0.667 0.333 0.932

Properties
Polymorph energy (0 for the lowest one)   0.3161 eV/atom
E_tot   -6.710 eV per atom
Magnetization   0.00 μB per formula unit
ΔE_f (raw)   245 meV per atom
Symmetry   R-3m, No. 166